[1]
Computed, not measured: a geometry-optimized BeInCo structure at the PBE-GGA level of DFT.

Lattice parameters (Å, degrees): 3.926 3.926 3.926 60.00 60.00 60.00
Fractional coordinates of all 3 atoms:
Be: 0.000 0.000 0.000
In: 0.750 0.750 0.750
Co: 0.250 0.250 0.250

formation enthalpy at 0 K = 291.4 meV per atom
energy above the lowest structure with this stoichiometry = 221.9 meV per atom
calculated total energy = -4.23 eV/atom

---

[2]
Computed, not measured: a geometry-optimized Be2InCo structure at the PBE-GGA level of DFT.

Lattice parameters (Å, degrees): 7.755 7.755 7.755 21.19 21.19 21.19
Fractional coordinates of all 4 atoms:
Be: 0.235 0.235 0.235
Be: 0.765 0.765 0.765
In: 0.000 0.000 0.000
Co: 0.500 0.500 0.500

formation enthalpy at 0 K = 474.5 meV per atom
calculated total energy = -3.85 eV/atom

---

[3]
Computed, not measured: a geometry-optimized BeIn2Co2 structure at the PBE-GGA level of DFT.

Lattice parameters (Å, degrees): 5.948 5.948 4.098 90.00 90.00 90.00
Fractional coordinates of all 10 atoms:
Be: 0.000 0.000 0.000
Be: 0.500 0.500 0.000
In: 0.170 0.330 0.500
In: 0.330 0.830 0.500
In: 0.670 0.170 0.500
In: 0.830 0.670 0.500
Co: 0.144 0.644 0.000
Co: 0.356 0.144 0.000
Co: 0.644 0.856 0.000
Co: 0.856 0.356 0.000

formation enthalpy at 0 K = 79.5 meV per atom
calculated total energy = -4.60 eV/atom

---

[4]
Computed, not measured: a geometry-optimized BeInCo structure at the PBE-GGA level of DFT.

Lattice parameters (Å, degrees): 2.897 2.897 5.983 90.00 90.00 120.00
Fractional coordinates of all 3 atoms:
Be: 0.000 0.000 0.000
In: 0.333 0.667 0.609
Co: 0.667 0.333 0.247

formation enthalpy at 0 K = 462.6 meV per atom
energy above the lowest structure with this stoichiometry = 393.1 meV per atom
calculated total energy = -4.06 eV/atom

---

[5]
Computed, not measured: a geometry-optimized BeInCo4 structure at the PBE-GGA level of DFT.

Lattice parameters (Å, degrees): 4.747 4.747 4.747 60.00 60.00 60.00
Fractional coordinates of all 6 atoms:
Be: 0.000 0.000 0.000
In: 0.250 0.250 0.250
Co: 0.123 0.626 0.626
Co: 0.626 0.123 0.626
Co: 0.626 0.626 0.123
Co: 0.626 0.626 0.626

formation enthalpy at 0 K = 244.6 meV per atom
calculated total energy = -5.57 eV/atom

---

[6]
Computed, not measured: a geometry-optimized Be2InCo structure at the PBE-GGA level of DFT.

Lattice parameters (Å, degrees): 2.688 3.527 5.391 90.00 100.98 90.00
Fractional coordinates of all 4 atoms:
Be: 0.000 0.000 0.000
Be: 0.124 0.500 0.222
In: 0.332 0.500 0.693
Co: 0.651 0.000 0.335

formation enthalpy at 0 K = 202.7 meV per atom
calculated total energy = -4.12 eV/atom

---

[7]
Computed, not measured: a geometry-optimized Be2InCo structure at the PBE-GGA level of DFT.

Lattice parameters (Å, degrees): 7.733 7.733 7.733 21.20 21.20 21.20
Fractional coordinates of all 4 atoms:
Be: 0.000 0.000 0.000
Be: 0.262 0.262 0.262
In: 0.764 0.764 0.764
Co: 0.527 0.527 0.527

formation enthalpy at 0 K = 542.5 meV per atom
calculated total energy = -3.78 eV/atom

---

[8]
Computed, not measured: a geometry-optimized BeInCo structure at the PBE-GGA level of DFT.

Lattice parameters (Å, degrees): 4.992 4.992 4.992 145.49 145.49 49.60
Fractional coordinates of all 3 atoms:
Be: 0.000 0.000 0.000
In: 0.287 0.287 0.000
Co: 0.588 0.588 0.000

formation enthalpy at 0 K = 69.5 meV per atom
energy above the lowest structure with this stoichiometry = 0.0 meV per atom
calculated total energy = -4.45 eV/atom

---

[9]
Computed, not measured: a geometry-optimized Be2InCo2 structure at the PBE-GGA level of DFT.

Lattice parameters (Å, degrees): 5.744 5.744 5.744 145.46 145.46 49.64
Fractional coordinates of all 5 atoms:
Be: 0.250 0.750 0.500
Be: 0.750 0.250 0.500
In: 0.000 0.000 0.000
Co: 0.384 0.384 0.000
Co: 0.616 0.616 0.000

formation enthalpy at 0 K = 214.3 meV per atom
energy above the lowest structure with this stoichiometry = 277.8 meV per atom
calculated total energy = -4.67 eV/atom

---

[10]
Computed, not measured: a geometry-optimized Be2InCo2 structure at the PBE-GGA level of DFT.

Lattice parameters (Å, degrees): 6.497 6.497 2.763 90.00 90.00 90.00
Fractional coordinates of all 10 atoms:
Be: 0.141 0.359 0.000
Be: 0.359 0.859 0.000
Be: 0.641 0.141 0.000
Be: 0.859 0.641 0.000
In: 0.000 0.000 0.500
In: 0.500 0.500 0.500
Co: 0.140 0.640 0.500
Co: 0.360 0.140 0.500
Co: 0.640 0.860 0.500
Co: 0.860 0.360 0.500

formation enthalpy at 0 K = 97.9 meV per atom
energy above the lowest structure with this stoichiometry = 161.4 meV per atom
calculated total energy = -4.78 eV/atom

---

[11]
Computed, not measured: a geometry-optimized Be2InCo structure at the PBE-GGA level of DFT.

Lattice parameters (Å, degrees): 4.852 4.852 2.764 105.70 105.70 115.24
Fractional coordinates of all 4 atoms:
Be: 0.000 0.500 0.000
Be: 0.500 0.000 0.000
In: 0.000 0.000 0.500
Co: 0.500 0.500 0.500

formation enthalpy at 0 K = 426.1 meV per atom
calculated total energy = -3.90 eV/atom

---

[12]
Computed, not measured: a geometry-optimized Be3InCo structure at the PBE-GGA level of DFT.

Lattice parameters (Å, degrees): 4.413 4.413 4.413 90.00 90.00 90.00
Fractional coordinates of all 5 atoms:
Be: 0.000 0.000 0.500
Be: 0.000 0.500 0.000
Be: 0.500 0.000 0.000
In: 0.000 0.000 0.000
Co: 0.500 0.500 0.500

formation enthalpy at 0 K = 1578.2 meV per atom
energy above the lowest structure with this stoichiometry = 1135.6 meV per atom
calculated total energy = -2.63 eV/atom

---

no.,magnetic moment (μB/f.u.)
1,0.000
2,0.355
3,0.000
4,0.852
5,5.275
6,0.000
7,0.724
8,0.488
9,0.000
10,0.000
11,0.000
12,1.564